Run one
Below is a PBEsol-optimized structure of TePW2, with properties calculated at the SCAN level.

Unit cell a=3.1581 b=4.2006 c=5.0623 alpha=90.00 beta=90.00 gamma=90.00
Space group Pmmm (No. 47)
Inequivalent atoms, fractional coordinates:
Te (0.0000, 0.0000, 0.0000) (multiplicity 1)
P (0.5000, 0.0000, 0.5000) (multiplicity 1)
W (0.0000, 0.5000, 0.5000) (multiplicity 1)
W (0.5000, 0.5000, 0.0000) (multiplicity 1)

Summary:
**DOS(E_F)**: 0.67 states/eV per atom


Run two
Below is a PBEsol-optimized structure of TePW2, with properties calculated at the SCAN level.

Unit cell a=3.1448 b=3.1448 c=6.4317 alpha=90.00 beta=90.00 gamma=90.00
Space group P4/mmm (No. 123)
Inequivalent atoms, fractional coordinates:
Te (0.0000, 0.0000, 0.0000) (multiplicity 1)
P (0.0000, 0.0000, 0.5000) (multiplicity 1)
W (0.5000, 0.5000, 0.2921) (multiplicity 2)

Summary:
**DOS(E_F)**: 0.55 states/eV per atom


Least stable = run one


Run one
Below is a PBEsol-optimized structure of Mg2TlRu, with properties calculated at the SCAN level.

Unit cell a=4.1476 b=4.1476 c=4.0742 alpha=90.00 beta=90.00 gamma=90.00
Space group P4/mmm (No. 123)
Inequivalent atoms, fractional coordinates:
Mg (0.0000, 0.5000, 0.0000) (multiplicity 2)
Tl (0.0000, 0.0000, 0.5000) (multiplicity 1)
Ru (0.5000, 0.5000, 0.5000) (multiplicity 1)

Summary:
**DOS(E_F)**: 0.48 states/eV per atom


Run two
Below is a PBEsol-optimized structure of Mg2TlRu, with properties calculated at the SCAN level.

Unit cell a=4.0156 b=4.0156 c=8.6857 alpha=90.00 beta=90.00 gamma=90.00
Space group I-4m2 (No. 119)
Inequivalent atoms, fractional coordinates:
Mg (0.0000, 0.0000, 0.0000) (multiplicity 2)
Mg (0.0000, 0.5000, 0.2500) (multiplicity 2)
Tl (0.0000, 0.5000, 0.7500) (multiplicity 2)
Ru (0.0000, 0.0000, 0.5000) (multiplicity 2)

Summary:
**DOS(E_F)**: 0.17 states/eV per atom


Least stable = run one


Run one
Below is a PBEsol-optimized structure of Sc2TaTe, with properties calculated at the SCAN level.

Unit cell a=10.0259 b=3.3506 c=5.0639 alpha=90.00 beta=103.00 gamma=90.00
Space group Cm (No. 8)
Inequivalent atoms, fractional coordinates:
Sc (0.0000, 0.0000, 0.0000) (multiplicity 2)
Sc (0.2309, 0.0000, 0.7300) (multiplicity 2)
Ta (0.2544, 0.5000, 0.2553) (multiplicity 2)
Te (0.4841, 0.0000, 0.4764) (multiplicity 2)

Summary:
**DOS(E_F)**: 0.99 states/eV per atom


Run two
Below is a PBEsol-optimized structure of Sc2TaTe, with properties calculated at the SCAN level.

Unit cell a=3.6120 b=3.6120 c=6.2664 alpha=90.00 beta=90.00 gamma=90.00
Space group P4mm (No. 99)
Inequivalent atoms, fractional coordinates:
Sc (0.0000, 0.0000, 0.0000) (multiplicity 1)
Sc (0.5000, 0.5000, 0.2696) (multiplicity 1)
Ta (0.0000, 0.0000, 0.5240) (multiplicity 1)
Te (0.5000, 0.5000, 0.7520) (multiplicity 1)

Summary:
**DOS(E_F)**: 0.83 states/eV per atom


Least stable = run two


Run one
Below is a PBEsol-optimized structure of Bi, with properties calculated at the SCAN level.

Unit cell a=4.5327 b=4.5327 c=3.2389 alpha=90.00 beta=90.00 gamma=90.00
Space group P4/nmm (No. 129, origin choice 2)
Inequivalent atoms, fractional coordinates:
Bi (0.2500, 0.2500, 0.0565) (multiplicity 2)

Summary:
**DOS(E_F)**: 0.51 states/eV per atom


Run two
Below is a PBEsol-optimized structure of Bi, with properties calculated at the SCAN level.

Unit cell a=3.2196 b=3.2196 c=3.2196 alpha=90.00 beta=90.00 gamma=90.00
Space group Pm-3m (No. 221)
Inequivalent atoms, fractional coordinates:
Bi (0.0000, 0.0000, 0.0000) (multiplicity 1)

Summary:
**DOS(E_F)**: 0.53 states/eV per atom


Least stable = run one


Run one
Below is a PBEsol-optimized structure of Sr2MoRh, with properties calculated at the SCAN level.

Unit cell a=3.0868 b=3.0868 c=9.3568 alpha=90.00 beta=90.00 gamma=90.00
Space group P4/mmm (No. 123)
Inequivalent atoms, fractional coordinates:
Sr (0.0000, 0.0000, 0.2228) (multiplicity 2)
Mo (0.5000, 0.5000, 0.5000) (multiplicity 1)
Rh (0.5000, 0.5000, 0.0000) (multiplicity 1)

Summary:
**DOS(E_F)**: 0.62 states/eV per atom


Run two
Below is a PBEsol-optimized structure of Sr2MoRh, with properties calculated at the SCAN level.

Unit cell a=3.3672 b=3.3672 c=9.3443 alpha=90.00 beta=90.00 gamma=90.00
Space group P4mm (No. 99)
Inequivalent atoms, fractional coordinates:
Sr (0.0000, 0.0000, 0.0000) (multiplicity 1)
Sr (0.5000, 0.5000, 0.3947) (multiplicity 1)
Mo (0.5000, 0.5000, 0.7411) (multiplicity 1)
Rh (0.0000, 0.0000, 0.6394) (multiplicity 1)

Summary:
**DOS(E_F)**: 1.09 states/eV per atom


Least stable = run one


Run one
Below is a PBEsol-optimized structure of MgCdPb2, with properties calculated at the SCAN level.

Unit cell a=7.5135 b=7.5135 c=7.5135 alpha=90.00 beta=90.00 gamma=90.00
Space group F-43m (No. 216)
Inequivalent atoms, fractional coordinates:
Mg (0.0000, 0.0000, 0.0000) (multiplicity 4)
Cd (0.2500, 0.2500, 0.2500) (multiplicity 4)
Pb (0.0000, 0.0000, 0.5000) (multiplicity 4)
Pb (0.2500, 0.2500, 0.7500) (multiplicity 4)

Summary:
**DOS(E_F)**: 0.31 states/eV per atom


Run two
Below is a PBEsol-optimized structure of MgCdPb2, with properties calculated at the SCAN level.

Unit cell a=4.7820 b=4.7820 c=9.0136 alpha=90.00 beta=90.00 gamma=90.00
Space group I4/mmm (No. 139)
Inequivalent atoms, fractional coordinates:
Mg (0.0000, 0.0000, 0.0000) (multiplicity 2)
Cd (0.0000, 0.0000, 0.5000) (multiplicity 2)
Pb (0.0000, 0.5000, 0.2500) (multiplicity 4)

Summary:
**DOS(E_F)**: 0.37 states/eV per atom


Least stable = run one


Run one
Below is a PBEsol-optimized structure of TaReAu2, with properties calculated at the SCAN level.

Unit cell a=2.7631 b=2.7631 c=8.4601 alpha=90.00 beta=90.00 gamma=90.00
Space group P4/mmm (No. 123)
Inequivalent atoms, fractional coordinates:
Ta (0.0000, 0.0000, 0.0000) (multiplicity 1)
Re (0.0000, 0.0000, 0.5000) (multiplicity 1)
Au (0.5000, 0.5000, 0.2537) (multiplicity 2)

Summary:
**DOS(E_F)**: 0.78 states/eV per atom


Run two
Below is a PBEsol-optimized structure of TaReAu2, with properties calculated at the SCAN level.

Unit cell a=3.4615 b=3.4615 c=5.4853 alpha=90.00 beta=90.00 gamma=90.00
Space group P4/mmm (No. 123)
Inequivalent atoms, fractional coordinates:
Ta (0.0000, 0.0000, 0.0000) (multiplicity 1)
Re (0.0000, 0.0000, 0.5000) (multiplicity 1)
Au (0.5000, 0.5000, 0.2526) (multiplicity 2)

Summary:
**DOS(E_F)**: 0.69 states/eV per atom


Least stable = run two


Run one
Below is a PBEsol-optimized structure of Ta5Mo3, with properties calculated at the SCAN level.

Unit cell a=3.1953 b=6.4105 c=6.4942 alpha=90.00 beta=90.00 gamma=90.00
Space group Pmm2 (No. 25)
Inequivalent atoms, fractional coordinates:
Ta (0.0000, 0.0000, 0.0000) (multiplicity 1)
Ta (0.0000, 0.0000, 0.4824) (multiplicity 1)
Ta (0.0000, 0.5000, 0.4774) (multiplicity 1)
Ta (0.5000, 0.2546, 0.7426) (multiplicity 2)
Mo (0.0000, 0.5000, 0.9937) (multiplicity 1)
Mo (0.5000, 0.2531, 0.2347) (multiplicity 2)

Summary:
**DOS(E_F)**: 0.86 states/eV per atom


Run two
Below is a PBEsol-optimized structure of Ta5Mo3, with properties calculated at the SCAN level.

Unit cell a=5.6161 b=9.0234 c=5.5819 alpha=90.00 beta=110.07 gamma=90.00
Space group C2/m (No. 12)
Inequivalent atoms, fractional coordinates:
Ta (0.0000, 0.0000, 0.0000) (multiplicity 2)
Ta (0.2460, 0.2455, 0.7481) (multiplicity 8)
Mo (0.0000, 0.0000, 0.5000) (multiplicity 2)
Mo (0.0000, 0.5000, 0.0000) (multiplicity 2)
Mo (0.0000, 0.5000, 0.5000) (multiplicity 2)

Summary:
**DOS(E_F)**: 0.95 states/eV per atom


Least stable = run two


Run one
Below is a PBEsol-optimized structure of IrAuBr2, with properties calculated at the SCAN level.

Unit cell a=6.6494 b=6.6494 c=6.6494 alpha=90.00 beta=90.00 gamma=90.00
Space group Fm-3m (No. 225)
Inequivalent atoms, fractional coordinates:
Ir (0.0000, 0.0000, 0.0000) (multiplicity 4)
Au (0.0000, 0.0000, 0.5000) (multiplicity 4)
Br (0.2500, 0.2500, 0.2500) (multiplicity 8)

Summary:
**DOS(E_F)**: 0.95 states/eV per atom


Run two
Below is a PBEsol-optimized structure of IrAuBr2, with properties calculated at the SCAN level.

Unit cell a=3.0718 b=3.0718 c=8.0129 alpha=90.00 beta=90.00 gamma=90.00
Space group P4/mmm (No. 123)
Inequivalent atoms, fractional coordinates:
Ir (0.0000, 0.0000, 0.0000) (multiplicity 1)
Au (0.0000, 0.0000, 0.5000) (multiplicity 1)
Br (0.5000, 0.5000, 0.2110) (multiplicity 2)

Summary:
**DOS(E_F)**: 0.68 states/eV per atom


Least stable = run one


Run one
Below is a PBEsol-optimized structure of KSr3, with properties calculated at the SCAN level.

Unit cell a=4.2379 b=4.2379 c=14.2683 alpha=90.00 beta=90.00 gamma=120.00
Space group P-6m2 (No. 187)
Inequivalent atoms, fractional coordinates:
K (0.0000, 0.0000, 0.0000) (multiplicity 1)
Sr (0.0000, 0.0000, 0.5000) (multiplicity 1)
Sr (0.3333, 0.6667, 0.2621) (multiplicity 2)

Summary:
**DOS(E_F)**: 0.98 states/eV per atom


Run two
Below is a PBEsol-optimized structure of KSr3, with properties calculated at the SCAN level.

Unit cell a=4.5945 b=6.9131 c=13.8339 alpha=90.00 beta=90.00 gamma=90.00
Space group Immm (No. 71)
Inequivalent atoms, fractional coordinates:
K (0.0000, 0.0000, 0.0000) (multiplicity 2)
Sr (0.0000, 0.0000, 0.5000) (multiplicity 2)
Sr (0.0000, 0.5000, 0.2525) (multiplicity 4)

Summary:
**DOS(E_F)**: 0.99 states/eV per atom


Least stable = run two


Run one
Below is a PBEsol-optimized structure of RhSe2Br, with properties calculated at the SCAN level.

Unit cell a=6.5761 b=3.7797 c=7.7344 alpha=90.00 beta=105.11 gamma=90.00
Space group C2/m (No. 12)
Inequivalent atoms, fractional coordinates:
Rh (0.0000, 0.0000, 0.0000) (multiplicity 2)
Se (0.1194, 0.5000, 0.8445) (multiplicity 4)
Br (0.0000, 0.5000, 0.5000) (multiplicity 2)

Summary:
**DOS(E_F)**: 0.15 states/eV per atom


Run two
Below is a PBEsol-optimized structure of RhSe2Br, with properties calculated at the SCAN level.

Unit cell a=3.0056 b=4.8186 c=10.7015 alpha=90.00 beta=90.00 gamma=90.00
Space group Immm (No. 71)
Inequivalent atoms, fractional coordinates:
Rh (0.0000, 0.0000, 0.0000) (multiplicity 2)
Se (0.0000, 0.5000, 0.3104) (multiplicity 4)
Br (0.0000, 0.0000, 0.5000) (multiplicity 2)

Summary:
**DOS(E_F)**: 0.70 states/eV per atom


Least stable = run two


Run one
Below is a PBEsol-optimized structure of CaZr3H, with properties calculated at the SCAN level.

Unit cell a=5.0048 b=5.0048 c=5.0048 alpha=90.00 beta=90.00 gamma=90.00
Space group Pm-3m (No. 221)
Inequivalent atoms, fractional coordinates:
Ca (0.0000, 0.0000, 0.0000) (multiplicity 1)
Zr (0.0000, 0.0000, 0.5000) (multiplicity 3)
H (0.5000, 0.5000, 0.5000) (multiplicity 1)

Summary:
**DOS(E_F)**: 1.05 states/eV per atom


Run two
Below is a PBEsol-optimized structure of CaZr3H, with properties calculated at the SCAN level.

Unit cell a=4.5859 b=4.5859 c=4.5859 alpha=90.00 beta=90.00 gamma=90.00
Space group Pm-3m (No. 221)
Inequivalent atoms, fractional coordinates:
Ca (0.0000, 0.0000, 0.0000) (multiplicity 1)
Zr (0.0000, 0.5000, 0.5000) (multiplicity 3)
H (0.5000, 0.5000, 0.5000) (multiplicity 1)

Summary:
**DOS(E_F)**: 1.19 states/eV per atom


Least stable = run one